Entry 1:
## LiYSc2H (GGA-PBE)

Data for crystalline LiYSc2H at its relaxed geometry.

```
data_LiYSc2H
_chemical_formula_sum 'Li1 Y1 Sc2 H1'
_space_group_name_H-M_alt 'P 1'
_space_group_IT_number 1
_space_group_name_Hall 'P 1'
_cell_length_a 4.519
_cell_length_b 4.519
_cell_length_c 4.944
_cell_angle_alpha 90.00
_cell_angle_beta 90.00
_cell_angle_gamma 90.00
loop_
_atom_site_label
_atom_site_fract_x
_atom_site_fract_y
_atom_site_fract_z
Y1 0.000 0.000 0.500
Sc1 0.000 0.500 0.000
Sc2 0.500 0.000 0.000
H1 0.000 0.000 0.000
Li1 0.500 0.500 0.500
```

N(E_F): 6.4 states/eV/f.u.
Total energy: -24.425 eV per cell
Crystal system: tetragonal


Entry 2:
## NdSm2HfP4 (GGA-PBE)

Data for crystalline NdSm2HfP4 at its relaxed geometry.

```
data_NdSm2HfP4
_chemical_formula_sum 'Nd1 Sm2 Hf1 P4'
_space_group_name_H-M_alt 'P 1'
_space_group_IT_number 1
_space_group_name_Hall 'P 1'
_cell_length_a 4.004
_cell_length_b 6.951
_cell_length_c 6.942
_cell_angle_alpha 109.18
_cell_angle_beta 90.00
_cell_angle_gamma 90.00
loop_
_atom_site_label
_atom_site_fract_x
_atom_site_fract_y
_atom_site_fract_z
Nd1 0.500 0.500 0.000
Sm1 0.500 0.000 0.500
Sm2 0.000 0.500 0.500
Hf1 0.000 0.000 0.000
P1 0.500 0.230 0.232
P2 0.500 0.770 0.768
P3 0.000 0.237 0.758
P4 0.000 0.763 0.242
```

N(E_F): 1.4 states/eV/f.u.
Formation energy from the elements: -1.465 eV per atom
Total energy: -57.521 eV per cell
Crystal system: monoclinic


Entry 3:
## Sm2CI3 (GGA-PBE)

Data for crystalline Sm2CI3 at its relaxed geometry.

```
data_Sm2CI3
_chemical_formula_sum 'Sm4 C2 I6'
_space_group_name_H-M_alt 'P 1'
_space_group_IT_number 1
_space_group_name_Hall 'P 1'
_cell_length_a 4.104
_cell_length_b 9.774
_cell_length_c 12.689
_cell_angle_alpha 60.30
_cell_angle_beta 80.69
_cell_angle_gamma 77.88
loop_
_atom_site_label
_atom_site_fract_x
_atom_site_fract_y
_atom_site_fract_z
Sm1 0.936 0.435 0.692
Sm2 0.064 0.565 0.308
Sm3 0.613 0.217 0.557
Sm4 0.387 0.783 0.443
C1 0.479 0.484 0.558
C2 0.521 0.516 0.442
I1 0.078 0.069 0.775
I2 0.922 0.931 0.225
I3 0.636 0.625 0.103
I4 0.364 0.375 0.897
I5 0.783 0.802 0.632
I6 0.217 0.198 0.368
```

N(E_F): 2.0 states/eV/f.u.
Total energy: -59.110 eV per cell
Energy relative to the elements, uncorrected: -1.040 eV per atom
Crystal system: monoclinic


Entry 4:
## LaHf3Tc (GGA-PBE)

Data for crystalline LaHf3Tc at its relaxed geometry.

```
data_LaHf3Tc
_chemical_formula_sum 'La1 Hf3 Tc1'
_space_group_name_H-M_alt 'P 1'
_space_group_IT_number 1
_space_group_name_Hall 'P 1'
_cell_length_a 5.083
_cell_length_b 5.083
_cell_length_c 5.083
_cell_angle_alpha 90.00
_cell_angle_beta 90.00
_cell_angle_gamma 90.00
loop_
_atom_site_label
_atom_site_fract_x
_atom_site_fract_y
_atom_site_fract_z
Hf1 0.000 0.500 0.000
Hf2 0.000 0.000 0.500
Hf3 0.500 0.000 0.000
Tc1 0.000 0.000 0.000
La1 0.500 0.500 0.500
```

N(E_F): 10.0 states/eV/f.u.
Formation energy from the elements: 0.211 eV per atom
Total energy: -44.098 eV per cell
Crystal system: cubic